Compound: Te2IrPdI
Source: the Alexandria database
Functional: PBE
Structure: optimized geometry

Unit cell a=5.169 b=5.169 c=5.615 alpha=90.00 beta=90.00 gamma=90.00
Space group P4/mmm (No. 123)
Unique sites:
Te (0.000, 0.500, 0.000) (multiplicity 2)
Ir (0.000, 0.000, 0.000) (multiplicity 1)
Pd (0.500, 0.500, 0.500) (multiplicity 1)
I (0.000, 0.000, 0.500) (multiplicity 1)

Electronic total energy in eV/f.u.: -18.16
Calculated density in g/cm³: 7.5
Volume in Å³ per atom: 30.0
DOS(E_F) in states/eV/f.u.: 6.69
Offset from the most stable computed form in meV per atom: 0

***

Compound: Cr2PN2
Source: the Alexandria database
Functional: PBE
Structure: optimized geometry

Unit cell a=5.951 b=5.951 c=2.572 alpha=90.00 beta=90.00 gamma=90.00
Space group P4/mbm (No. 127)
Unique sites:
Cr (0.159, 0.341, 0.000) (multiplicity 4)
P (0.000, 0.000, 0.500) (multiplicity 2)
N (0.134, 0.634, 0.500) (multiplicity 4)

Electronic total energy in eV/f.u.: -38.88
Calculated density in g/cm³: 5.9
Volume in Å³ per atom: 9.1
DOS(E_F) in states/eV/f.u.: 3.91
Offset from the most stable computed form in meV per atom: 371

***

Compound: Sc2ZnInRh4
Source: the Alexandria database
Functional: PBE
Structure: optimized geometry

Unit cell a=4.4890 b=4.4890 c=21.9911 alpha=90.00 beta=90.00 gamma=120.00
Space group R-3m (No. 166, hexagonal axes)
Unique sites:
Sc (0.0000, 0.0000, 0.2474) (multiplicity 6)
Zn (0.0000, 0.0000, 0.5000) (multiplicity 3)
In (0.0000, 0.0000, 0.0000) (multiplicity 3)
Rh (0.0000, 0.0000, 0.1268) (multiplicity 6)
Rh (0.0000, 0.0000, 0.3773) (multiplicity 6)

Electronic total energy in eV/f.u.: -52.53
Energy relative to the elements in eV/atom: -0.806
Calculated density in g/cm³: 8.8
Volume in Å³ per atom: 16.0
DOS(E_F) in states/eV/f.u.: 3.74

***

Compound: TaAs2PdBr
Source: the Alexandria database
Functional: PBE
Structure: optimized geometry

Unit cell a=4.822 b=4.822 c=4.939 alpha=90.00 beta=90.00 gamma=90.00
Space group P4/mmm (No. 123)
Unique sites:
Ta (0.000, 0.000, 0.000) (multiplicity 1)
As (0.000, 0.500, 0.500) (multiplicity 2)
Pd (0.500, 0.500, 0.500) (multiplicity 1)
Br (0.500, 0.500, 0.000) (multiplicity 1)

Electronic total energy in eV/f.u.: -22.99
Calculated density in g/cm³: 7.5
Volume in Å³ per atom: 23.0
DOS(E_F) in states/eV/f.u.: 4.36
Offset from the most stable computed form in meV per atom: 523